[1]
Computed, not measured: an optimized crystal structure of Li4Ir4O11 at the GGA-PBE level of DFT.

Total DFT energy (no corrections) in eV per cell: -117.24

Cell: 5.0365 5.1315 7.3046 Å, 89.74 89.66 89.69°
Space group P1 (No. 1)
Symmetry-distinct sites (fractional):
Li 0.0000 0.0000 0.0000 (multiplicity 1)
Li 0.0056 0.1026 0.4934 (multiplicity 1)
Li 0.5031 0.5976 0.4959 (multiplicity 1)
Li 0.5133 0.4897 0.9937 (multiplicity 1)
Ir 0.0054 0.5442 0.2505 (multiplicity 1)
Ir 0.4996 0.0622 0.7490 (multiplicity 1)
Ir 0.5053 0.0408 0.2512 (multiplicity 1)
Ir 0.9975 0.5573 0.7491 (multiplicity 1)
O 0.1351 0.4934 0.5036 (multiplicity 1)
O 0.1653 0.2293 0.8206 (multiplicity 1)
O 0.1714 0.2123 0.1851 (multiplicity 1)
O 0.3352 0.7165 0.1691 (multiplicity 1)
O 0.3710 0.9835 0.5058 (multiplicity 1)
O 0.6223 0.4285 0.7208 (multiplicity 1)
O 0.6344 0.1052 0.0020 (multiplicity 1)
O 0.6769 0.3662 0.3297 (multiplicity 1)
O 0.8343 0.8696 0.3219 (multiplicity 1)
O 0.8385 0.8959 0.6860 (multiplicity 1)
O 0.8753 0.6098 0.0033 (multiplicity 1)

***

[2]
Computed, not measured: an optimized crystal structure of Li6Ir4O11 at the GGA-PBE level of DFT.

Distance to the lowest polymorph of the same formula in meV per atom: 71.1

Cell: 4.9902 5.0132 8.6573 Å, 76.45 89.57 81.47°
Space group P1 (No. 1)
Symmetry-distinct sites (fractional):
Li 0.0000 0.0000 0.0000 (multiplicity 1)
Li 0.0202 0.4905 0.6322 (multiplicity 1)
Li 0.2204 0.4797 0.0720 (multiplicity 1)
Li 0.4709 0.6125 0.4809 (multiplicity 1)
Li 0.4966 0.8625 0.1694 (multiplicity 1)
Li 0.7658 0.0132 0.5753 (multiplicity 1)
Ir 0.2219 0.1623 0.4117 (multiplicity 1)
Ir 0.4565 0.2287 0.8250 (multiplicity 1)
Ir 0.7035 0.6017 0.8836 (multiplicity 1)
Ir 0.7591 0.3006 0.2555 (multiplicity 1)
O 0.0824 0.3942 0.8703 (multiplicity 1)
O 0.1216 0.8253 0.5372 (multiplicity 1)
O 0.1250 0.0961 0.2043 (multiplicity 1)
O 0.3657 0.8293 0.9238 (multiplicity 1)
O 0.3695 0.2639 0.5991 (multiplicity 1)
O 0.3925 0.4944 0.2784 (multiplicity 1)
O 0.5891 0.9697 0.3826 (multiplicity 1)
O 0.6234 0.2491 0.0434 (multiplicity 1)
O 0.7904 0.9741 0.7982 (multiplicity 1)
O 0.8529 0.6466 0.1100 (multiplicity 1)
O 0.8591 0.3741 0.4609 (multiplicity 1)

***

[3]
Computed, not measured: an optimized crystal structure of LiIr2O6 at the GGA-PBE level of DFT.

Distance to the lowest polymorph of the same formula in meV per atom: 5.7

Cell: 5.2814 8.9248 5.0979 Å, 90.00 114.29 90.00°
Space group C2/m (No. 12)
Symmetry-distinct sites (fractional):
Li 0.0000 0.0000 0.0000 (multiplicity 2)
Ir 0.0000 0.1689 0.5000 (multiplicity 4)
O 0.1982 0.0000 0.7401 (multiplicity 4)
O 0.2199 0.1866 0.2769 (multiplicity 8)

***

[4]
Computed, not measured: an optimized crystal structure of LiIrO4 at the GGA-PBE level of DFT.

Distance to the lowest polymorph of the same formula in meV per atom: 13.1

Cell: 4.5139 3.0831 4.5288 Å, 90.00 90.34 90.00°
Space group P2/m (No. 10)
Symmetry-distinct sites (fractional):
Li 0.0000 0.0000 0.0000 (multiplicity 1)
Ir 0.5000 0.5000 0.5000 (multiplicity 1)
O 0.2207 0.5000 0.2197 (multiplicity 2)
O 0.3041 0.0000 0.6941 (multiplicity 2)

***

[5]
Computed, not measured: an optimized crystal structure of Li2IrO3 at the GGA-PBE level of DFT.

Total DFT energy (no corrections) in eV per cell: -572.17

Cell: 5.8790 8.2820 17.8170 Å, 90.00 90.00 90.00°
Space group Fddd (No. 70, origin choice 2)
Symmetry-distinct sites (fractional):
Li 0.1250 0.1250 0.0459 (multiplicity 16)
Li 0.1250 0.1250 0.3722 (multiplicity 16)
Ir 0.1250 0.1250 0.5404 (multiplicity 16)
O 0.1095 0.3750 0.8750 (multiplicity 16)
O 0.1217 0.3707 0.7096 (multiplicity 32)

***

[6]
Computed, not measured: an optimized crystal structure of LiIrPb2O6 at the GGA-PBE level of DFT.

Total DFT energy (no corrections) in eV per cell: -232.12

Cell: 7.8664 7.8664 7.8664 Å, 90.00 90.00 90.00°
Space group Fm-3m (No. 225)
Symmetry-distinct sites (fractional):
Li 0.0000 0.0000 0.0000 (multiplicity 4)
Ir 0.0000 0.0000 0.5000 (multiplicity 4)
Pb 0.2500 0.2500 0.2500 (multiplicity 8)
O 0.0000 0.0000 0.2577 (multiplicity 24)

***

[7]
Computed, not measured: an optimized crystal structure of Li4IrPbO6 at the GGA-PBE level of DFT.

Total DFT energy (no corrections) in eV per cell: -133.92

Cell: 5.3793 9.3656 5.1607 Å, 90.00 109.86 90.00°
Space group C2 (No. 5)
Symmetry-distinct sites (fractional):
Li 0.0000 0.0000 0.0000 (multiplicity 2)
Li 0.0000 0.1547 0.5000 (multiplicity 2)
Li 0.0000 0.5224 0.5000 (multiplicity 2)
Li 0.0000 0.8315 0.5000 (multiplicity 2)
Ir 0.0000 0.6671 0.0000 (multiplicity 2)
Pb 0.0000 0.3354 0.0000 (multiplicity 2)
O 0.2272 0.8201 0.2411 (multiplicity 4)
O 0.2315 0.6646 0.7652 (multiplicity 4)
O 0.2358 0.5149 0.2434 (multiplicity 4)

***

[8]
Computed, not measured: an optimized crystal structure of LiPr2IrO6 at the GGA-PBE level of DFT.

Total DFT energy (no corrections) in eV per cell: -145.59

Cell: 5.4339 5.7297 9.4327 Å, 90.00 124.76 90.00°
Space group P2_1/c (No. 14)
Symmetry-distinct sites (fractional):
Li 0.0000 0.0000 0.0000 (multiplicity 2)
Pr 0.2327 0.0664 0.7483 (multiplicity 4)
Ir 0.5000 0.0000 0.5000 (multiplicity 2)
O 0.1588 0.1952 0.4554 (multiplicity 4)
O 0.2635 0.7118 0.4524 (multiplicity 4)
O 0.3410 0.0222 0.2525 (multiplicity 4)

***

[9]
Computed, not measured: an optimized crystal structure of Li4IrPtO6 at the GGA-PBE level of DFT.

Total DFT energy (no corrections) in eV per cell: -136.38

Cell: 5.1651 8.9058 5.0807 Å, 90.00 110.05 90.00°
Space group C2 (No. 5)
Symmetry-distinct sites (fractional):
Li 0.0000 0.0000 0.0000 (multiplicity 2)
Li 0.0000 0.1604 0.5000 (multiplicity 2)
Li 0.0000 0.3208 0.0000 (multiplicity 2)
Li 0.0000 0.6600 0.0000 (multiplicity 2)
Ir 0.0000 0.8270 0.5000 (multiplicity 2)
Pt 0.0000 0.4938 0.5000 (multiplicity 2)
O 0.2380 0.6612 0.7418 (multiplicity 4)
O 0.2471 0.8320 0.2616 (multiplicity 4)
O 0.2492 0.4875 0.2624 (multiplicity 4)

***

[10]
Computed, not measured: an optimized crystal structure of RbLiIrO4 at the GGA-PBE level of DFT.

Total DFT energy (no corrections) in eV per cell: -156.11

Cell: 9.7958 5.4814 9.6092 Å, 90.00 113.15 90.00°
Space group Cc (No. 9)
Symmetry-distinct sites (fractional):
Rb 0.0000 0.2375 0.0000 (multiplicity 4)
Li 0.3772 0.2957 0.1272 (multiplicity 4)
Ir 0.2543 0.2526 0.7520 (multiplicity 4)
O 0.0626 0.2852 0.6196 (multiplicity 4)
O 0.2492 0.3852 0.9233 (multiplicity 4)
O 0.2916 0.0571 0.2083 (multiplicity 4)
O 0.4172 0.4078 0.7466 (multiplicity 4)

***

[11]
Computed, not measured: an optimized crystal structure of Li4SbIrO6 at the GGA-PBE level of DFT.

Total DFT energy (no corrections) in eV per cell: -139.18

Cell: 5.1980 8.9901 5.0816 Å, 90.00 109.93 90.00°
Space group C2 (No. 5)
Symmetry-distinct sites (fractional):
Li 0.0000 0.0000 0.0000 (multiplicity 2)
Li 0.0000 0.1561 0.5000 (multiplicity 2)
Li 0.0000 0.5122 0.5000 (multiplicity 2)
Li 0.0000 0.8377 0.5000 (multiplicity 2)
Sb 0.0000 0.3338 0.0000 (multiplicity 2)
Ir 0.0000 0.6673 0.0000 (multiplicity 2)
O 0.2361 0.4956 0.2403 (multiplicity 4)
O 0.2420 0.3306 0.7641 (multiplicity 4)
O 0.2446 0.1749 0.2385 (multiplicity 4)

***

[12]
Computed, not measured: an optimized crystal structure of Sr2LiIrO6 at the GGA-PBE level of DFT.

Total DFT energy (no corrections) in eV per cell: -247.93

Cell: 7.8267 7.8267 7.8267 Å, 90.00 90.00 90.00°
Space group Fm-3m (No. 225)
Symmetry-distinct sites (fractional):
Sr 0.2500 0.2500 0.2500 (multiplicity 8)
Li 0.0000 0.0000 0.0000 (multiplicity 4)
Ir 0.0000 0.0000 0.5000 (multiplicity 4)
O 0.0000 0.0000 0.2559 (multiplicity 24)

***

[13]
Computed, not measured: an optimized crystal structure of Sr2LiIrO6 at the GGA-PBE level of DFT.

Total DFT energy (no corrections) in eV per cell: -123.94

Cell: 5.5225 5.5250 7.8215 Å, 90.01 90.00 90.03°
Space group P-1 (No. 2)
Symmetry-distinct sites (fractional):
Sr 0.9999 0.9996 0.2500 (multiplicity 2)
Sr 0.4999 0.4998 0.2500 (multiplicity 2)
Li 0.0000 0.5000 0.0000 (multiplicity 1)
Li 0.5000 0.0000 0.5000 (multiplicity 1)
Ir 0.0000 0.5000 0.5000 (multiplicity 1)
Ir 0.5000 0.0000 0.0000 (multiplicity 1)
O 0.0009 0.4999 0.2558 (multiplicity 2)
O 0.2395 0.2515 0.5003 (multiplicity 2)
O 0.2497 0.7399 0.5008 (multiplicity 2)
O 0.2528 0.7584 0.9992 (multiplicity 2)
O 0.2583 0.2469 0.9996 (multiplicity 2)
O 0.4988 0.9996 0.2441 (multiplicity 2)

***

[14]
Computed, not measured: an optimized crystal structure of Sr3LiIrO6 at the GGA-PBE level of DFT.

Total DFT energy (no corrections) in eV per cell: -413.52

Cell: 9.6217 9.6217 11.0960 Å, 90.00 90.00 120.00°
Space group R-3c (No. 167, hexagonal axes)
Symmetry-distinct sites (fractional):
Sr 0.0000 0.3606 0.2500 (multiplicity 18)
Li 0.0000 0.0000 0.2500 (multiplicity 6)
Ir 0.0000 0.0000 0.0000 (multiplicity 6)
O 0.0219 0.1759 0.3924 (multiplicity 36)

***

[15]
Computed, not measured: an optimized crystal structure of Li4TeIrO6 at the GGA-PBE level of DFT.

Total DFT energy (no corrections) in eV per cell: -132.72

Cell: 5.2960 9.1628 5.1513 Å, 90.00 109.86 90.00°
Space group C2 (No. 5)
Symmetry-distinct sites (fractional):
Li 0.0000 0.0000 0.0000 (multiplicity 2)
Li 0.0000 0.1565 0.5000 (multiplicity 2)
Li 0.0000 0.5151 0.5000 (multiplicity 2)
Li 0.0000 0.8365 0.5000 (multiplicity 2)
Te 0.0000 0.3347 0.0000 (multiplicity 2)
Ir 0.0000 0.6669 0.0000 (multiplicity 2)
O 0.2392 0.5034 0.2457 (multiplicity 4)
O 0.2468 0.6717 0.7622 (multiplicity 4)
O 0.2476 0.8266 0.2400 (multiplicity 4)

***

[16]
Computed, not measured: an optimized crystal structure of Li4ZrIrO6 at the GGA-PBE level of DFT.

Total DFT energy (no corrections) in eV per cell: -157.54

Cell: 5.1808 8.8975 5.2187 Å, 90.00 108.84 90.00°
Space group C2 (No. 5)
Symmetry-distinct sites (fractional):
Li 0.0000 0.0000 0.0000 (multiplicity 2)
Li 0.0000 0.1542 0.5000 (multiplicity 2)
Li 0.0000 0.5153 0.5000 (multiplicity 2)
Li 0.0000 0.8396 0.5000 (multiplicity 2)
Zr 0.0000 0.3402 0.0000 (multiplicity 2)
Ir 0.0000 0.6641 0.0000 (multiplicity 2)
O 0.2425 0.6671 0.7633 (multiplicity 4)
O 0.2433 0.8261 0.2421 (multiplicity 4)
O 0.2473 0.5050 0.2524 (multiplicity 4)

***

[17]
Computed, not measured: an optimized crystal structure of LiP5Ir3 at the GGA-PBE level of DFT.

Total DFT energy (no corrections) in eV per cell: -54.43

Cell: 5.4896 5.4896 6.9621 Å, 90.00 90.00 120.00°
Space group P6/mmm (No. 191)
Symmetry-distinct sites (fractional):
Li 0.0000 0.0000 0.0000 (multiplicity 1)
P 0.0000 0.0000 0.5000 (multiplicity 1)
P 0.3333 0.6667 0.2412 (multiplicity 4)
Ir 0.0000 0.5000 0.5000 (multiplicity 3)

***

[18]
Computed, not measured: an optimized crystal structure of Li2P2Ir at the GGA-PBE level of DFT.

Total DFT energy (no corrections) in eV per cell: -54.64

Cell: 5.8989 5.8989 4.1129 Å, 90.00 90.00 90.00°
Space group P4/mbm (No. 127)
Symmetry-distinct sites (fractional):
Li 0.1822 0.3178 0.0000 (multiplicity 4)
P 0.1303 0.6303 0.5000 (multiplicity 4)
Ir 0.0000 0.0000 0.5000 (multiplicity 2)

***

[19]
Computed, not measured: an optimized crystal structure of LiIrPb2 at the GGA-PBE level of DFT.

Total DFT energy (no corrections) in eV per cell: -67.99

Cell: 6.9910 6.9910 6.9910 Å, 90.00 90.00 90.00°
Space group F-43m (No. 216)
Symmetry-distinct sites (fractional):
Li 0.0000 0.0000 0.0000 (multiplicity 4)
Ir 0.2500 0.2500 0.2500 (multiplicity 4)
Pb 0.0000 0.0000 0.5000 (multiplicity 4)
Pb 0.2500 0.2500 0.7500 (multiplicity 4)